This record from Alexandria describes an optimized crystal structure of YMnIn. The functional is PBEsol.

Geometry as CIF:
```
data_YMnIn
_cell_length_a 3.468
_cell_length_b 4.688
_cell_length_c 4.688
_cell_angle_alpha 120.00
_cell_angle_beta 90.00
_cell_angle_gamma 90.00
_symmetry_space_group_name_H-M 'P 1'
_symmetry_Int_Tables_number 1
_symmetry_space_group_name_Hall 'P 1'
loop_
_atom_site_label
_atom_site_type_symbol
_atom_site_fract_x
_atom_site_fract_y
_atom_site_fract_z
In1 In 0.000 0.000 0.000
Mn1 Mn 0.000 0.333 0.667
Y1 Y 0.500 0.667 0.333
```

Calculated values
Density of states at the Fermi level: 2.26 states/eV per cell
Symmetry: P-6m2 (187)
DFT total energy: -6.581 eV per atom
Energy of formation from the pure elements: -0.059 eV per atom

This record from Alexandria describes an optimized crystal structure of BaCuNi2C. The functional is PBEsol.

Geometry as CIF:
```
data_BaCuNi2C
_cell_length_a 4.537
_cell_length_b 4.809
_cell_length_c 4.809
_cell_angle_alpha 90.00
_cell_angle_beta 90.00
_cell_angle_gamma 90.00
_symmetry_space_group_name_H-M 'P 1'
_symmetry_Int_Tables_number 1
_symmetry_space_group_name_Hall 'P 1'
loop_
_atom_site_label
_atom_site_type_symbol
_atom_site_fract_x
_atom_site_fract_y
_atom_site_fract_z
Ni1 Ni 0.000 0.000 0.500
Ni2 Ni 0.000 0.500 0.000
C1 C 0.500 0.000 0.000
Ba1 Ba 0.000 0.000 0.000
Cu1 Cu 0.500 0.500 0.500
```

Calculated values
Density of states at the Fermi level: 4.68 states/eV per cell
Symmetry: P4/mmm (123)
DFT total energy: -2.967 eV per atom
Energy of formation from the pure elements: 2.721 eV per atom

This record from Alexandria describes an optimized crystal structure of Sr2BiAu2. The functional is PBEsol.

Geometry as CIF:
```
data_Sr2BiAu2
_cell_length_a 5.911
_cell_length_b 6.028
_cell_length_c 5.911
_cell_angle_alpha 60.64
_cell_angle_beta 90.00
_cell_angle_gamma 119.36
_symmetry_space_group_name_H-M 'P 1'
_symmetry_Int_Tables_number 1
_symmetry_space_group_name_Hall 'P 1'
loop_
_atom_site_label
_atom_site_type_symbol
_atom_site_fract_x
_atom_site_fract_y
_atom_site_fract_z
Sr1 Sr 0.750 0.500 0.750
Sr2 Sr 0.250 0.500 0.250
Au1 Au 0.650 0.299 0.350
Au2 Au 0.350 0.701 0.650
Bi1 Bi 0.000 0.000 0.000
```

Calculated values
Density of states at the Fermi level: 1.24 states/eV per cell
Symmetry: I4/mmm (139)
DFT total energy: -3.772 eV per atom
Energy of formation from the pure elements: -0.609 eV per atom

This record from Alexandria describes an optimized crystal structure of Y3ZnN. The functional is PBEsol.

Geometry as CIF:
```
data_Y3ZnN
_cell_length_a 4.710
_cell_length_b 4.710
_cell_length_c 4.710
_cell_angle_alpha 90.00
_cell_angle_beta 90.00
_cell_angle_gamma 90.00
_symmetry_space_group_name_H-M 'P 1'
_symmetry_Int_Tables_number 1
_symmetry_space_group_name_Hall 'P 1'
loop_
_atom_site_label
_atom_site_type_symbol
_atom_site_fract_x
_atom_site_fract_y
_atom_site_fract_z
Y1 Y 0.000 0.500 0.000
Y2 Y 0.000 0.000 0.500
Y3 Y 0.500 0.000 0.000
Zn1 Zn 0.500 0.500 0.500
N1 N 0.000 0.000 0.000
```

Calculated values
Density of states at the Fermi level: 4.85 states/eV per cell
Raw formation energy: -0.89 eV per atom
Symmetry: Pm-3m (221)
DFT total energy: -7.003 eV per atom

This record from Alexandria describes an optimized crystal structure of HfTc2AgRh. The functional is PBEsol.

Geometry as CIF:
```
data_HfTc2AgRh
_cell_length_a 4.567
_cell_length_b 4.567
_cell_length_c 4.845
_cell_angle_alpha 90.00
_cell_angle_beta 90.00
_cell_angle_gamma 90.00
_symmetry_space_group_name_H-M 'P 1'
_symmetry_Int_Tables_number 1
_symmetry_space_group_name_Hall 'P 1'
loop_
_atom_site_label
_atom_site_type_symbol
_atom_site_fract_x
_atom_site_fract_y
_atom_site_fract_z
Rh1 Rh 0.500 0.500 0.500
Hf1 Hf 0.000 0.000 0.000
Tc1 Tc 0.000 0.500 0.000
Tc2 Tc 0.500 0.000 0.000
Ag1 Ag 0.000 0.000 0.500
```

Calculated values
Density of states at the Fermi level: 7.51 states/eV per cell
Symmetry: P4/mmm (123)
DFT total energy: -6.856 eV per atom
Energy of formation from the pure elements: 2.041 eV per atom

This record from Alexandria describes an optimized crystal structure of In5Se5Cl. The functional is PBEsol.

Geometry as CIF:
```
data_In5Se5Cl
_cell_length_a 4.089
_cell_length_b 9.153
_cell_length_c 15.144
_cell_angle_alpha 92.51
_cell_angle_beta 90.00
_cell_angle_gamma 90.00
_symmetry_space_group_name_H-M 'P 1'
_symmetry_Int_Tables_number 1
_symmetry_space_group_name_Hall 'P 1'
loop_
_atom_site_label
_atom_site_type_symbol
_atom_site_fract_x
_atom_site_fract_y
_atom_site_fract_z
In1 In 0.750 0.237 0.288
In2 In 0.250 0.383 0.852
In3 In 0.250 0.044 0.653
In4 In 0.750 0.617 0.148
In5 In 0.750 0.956 0.347
In6 In 0.250 0.763 0.712
In7 In 0.750 0.865 0.939
In8 In 0.250 0.663 0.447
In9 In 0.750 0.337 0.553
In10 In 0.250 0.135 0.061
Se1 Se 0.750 0.666 0.808
Se2 Se 0.250 0.039 0.893
Se3 Se 0.750 0.472 0.396
Se4 Se 0.250 0.334 0.192
Se5 Se 0.750 0.961 0.107
Se6 Se 0.250 0.159 0.495
Se7 Se 0.750 0.210 0.714
Se8 Se 0.750 0.841 0.505
Se9 Se 0.250 0.790 0.286
Se10 Se 0.250 0.528 0.604
Cl1 Cl 0.250 0.672 0.001
Cl2 Cl 0.750 0.328 0.999
```

Calculated values
Raw formation energy: -0.55 eV per atom
Symmetry: P2_1/m (11)
DFT total energy: -3.840 eV per atom

This record from Alexandria describes an optimized crystal structure of RuPtBr2. The functional is PBEsol.

Geometry as CIF:
```
data_RuPtBr2
_cell_length_a 4.659
_cell_length_b 4.659
_cell_length_c 4.659
_cell_angle_alpha 60.00
_cell_angle_beta 60.00
_cell_angle_gamma 60.00
_symmetry_space_group_name_H-M 'P 1'
_symmetry_Int_Tables_number 1
_symmetry_space_group_name_Hall 'P 1'
loop_
_atom_site_label
_atom_site_type_symbol
_atom_site_fract_x
_atom_site_fract_y
_atom_site_fract_z
Ru1 Ru 0.250 0.250 0.250
Br1 Br 0.000 0.000 0.000
Br2 Br 0.750 0.750 0.750
Pt1 Pt 0.500 0.500 0.500
```

Calculated values
Density of states at the Fermi level: 5.90 states/eV per cell
Raw formation energy: 1.09 eV per atom
Symmetry: F-43m (216)
DFT total energy: -4.125 eV per atom

This record from Alexandria describes an optimized crystal structure of AlZnTc2. The functional is PBEsol.

Geometry as CIF:
```
data_AlZnTc2
_cell_length_a 2.640
_cell_length_b 2.640
_cell_length_c 7.987
_cell_angle_alpha 90.00
_cell_angle_beta 90.00
_cell_angle_gamma 90.00
_symmetry_space_group_name_H-M 'P 1'
_symmetry_Int_Tables_number 1
_symmetry_space_group_name_Hall 'P 1'
loop_
_atom_site_label
_atom_site_type_symbol
_atom_site_fract_x
_atom_site_fract_y
_atom_site_fract_z
Zn1 Zn 0.500 0.500 0.000
Tc1 Tc 0.000 0.000 0.748
Tc2 Tc 0.000 0.000 0.252
Al1 Al 0.500 0.500 0.500
```

Calculated values
Density of states at the Fermi level: 4.67 states/eV per cell
Symmetry: P4/mmm (123)
DFT total energy: -6.969 eV per atom
Energy of formation from the pure elements: 0.082 eV per atom